A crystal of FeGeSb2I relaxed with PBEsol, computed with SCAN.

Computed properties:
- E_form (uncorrected): 0.72 eV/atom
- Symmetry: P4/mmm, No. 123

a = 4.755 Å, b = 4.755 Å, c = 5.452 Å
α = 90.00°, β = 90.00°, γ = 90.00°
Sites, in units of the cell vectors:
Fe1 0.000 0.000 0.000
Ge1 0.500 0.500 0.500
Sb1 0.000 0.500 0.000
Sb2 0.500 0.000 0.000
I1 0.000 0.000 0.500

---

A crystal of Cd3AgCl relaxed with PBEsol, computed with SCAN.

Computed properties:
- E above lowest polymorph: 0.00 eV/f.u.
- E_form (uncorrected): -0.04 eV/atom
- Symmetry: Pm-3m, No. 221

a = 5.195 Å, b = 5.195 Å, c = 5.195 Å
α = 90.00°, β = 90.00°, γ = 90.00°
Sites, in units of the cell vectors:
Cd1 0.000 0.000 0.500
Cd2 0.000 0.500 0.000
Cd3 0.500 0.000 0.000
Ag1 0.000 0.000 0.000
Cl1 0.500 0.500 0.500

---

A crystal of SrCdCo2Si relaxed with PBEsol, computed with SCAN.

Computed properties:
- E_form (uncorrected): 1.15 eV/atom
- Symmetry: P4/mmm, No. 123

a = 4.737 Å, b = 4.737 Å, c = 5.577 Å
α = 90.00°, β = 90.00°, γ = 90.00°
Sites, in units of the cell vectors:
Sr1 0.000 0.000 0.000
Cd1 0.000 0.000 0.500
Co1 0.000 0.500 0.500
Co2 0.500 0.000 0.500
Si1 0.500 0.500 0.000

---

A crystal of TiZnBiO5 relaxed with PBEsol, computed with SCAN.

Computed properties:
- E above lowest polymorph: 0.18 eV/f.u.
- E_form (uncorrected): -1.89 eV/atom
- Symmetry: P2_1/c, No. 14

a = 5.189 Å, b = 10.799 Å, c = 8.428 Å
α = 90.00°, β = 106.31°, γ = 90.00°
Sites, in units of the cell vectors:
Ti1 0.121 0.117 0.435
Ti2 0.121 0.383 0.935
Ti3 0.879 0.617 0.065
Ti4 0.879 0.883 0.565
Zn1 0.482 0.609 0.352
Zn2 0.482 0.891 0.852
Zn3 0.518 0.109 0.148
Zn4 0.518 0.391 0.648
Bi1 0.051 0.605 0.660
Bi2 0.051 0.895 0.160
Bi3 0.949 0.105 0.840
Bi4 0.949 0.395 0.340
O1 0.125 0.047 0.639
O2 0.125 0.453 0.139
O3 0.194 0.698 0.186
O4 0.194 0.802 0.686
O5 0.239 0.535 0.475
O6 0.239 0.965 0.975
O7 0.280 0.230 0.996
O8 0.280 0.270 0.496
O9 0.316 0.048 0.304
O10 0.316 0.452 0.804
O11 0.684 0.548 0.196
O12 0.684 0.952 0.696
O13 0.720 0.730 0.504
O14 0.720 0.770 0.004
O15 0.761 0.035 0.025
O16 0.761 0.465 0.525
O17 0.806 0.198 0.314
O18 0.806 0.302 0.814
O19 0.875 0.547 0.861
O20 0.875 0.953 0.361

---

A crystal of NdScO3 relaxed with PBEsol, computed with SCAN.

Computed properties:
- E_form (uncorrected): -3.84 eV/atom
- Symmetry: Pnma, No. 62

a = 5.776 Å, b = 7.973 Å, c = 5.546 Å
α = 90.00°, β = 90.00°, γ = 90.00°
Sites, in units of the cell vectors:
Nd1 0.058 0.250 0.016
Nd2 0.442 0.750 0.516
Nd3 0.558 0.250 0.484
Nd4 0.942 0.750 0.984
Sc1 0.000 0.000 0.500
Sc2 0.000 0.500 0.500
Sc3 0.500 0.000 0.000
Sc4 0.500 0.500 0.000
O1 0.041 0.750 0.390
O2 0.200 0.558 0.802
O3 0.200 0.942 0.802
O4 0.300 0.058 0.302
O5 0.300 0.442 0.302
O6 0.459 0.250 0.890
O7 0.541 0.750 0.110
O8 0.700 0.558 0.698
O9 0.700 0.942 0.698
O10 0.800 0.058 0.198
O11 0.800 0.442 0.198
O12 0.959 0.250 0.610

---

A crystal of CdGa3Au relaxed with PBEsol, computed with SCAN.

Computed properties:
- Energy relative to the elements: 301.4 kJ/mol of formula units
- Symmetry: Pm-3m, No. 221

a = 4.987 Å, b = 4.987 Å, c = 4.987 Å
α = 90.00°, β = 90.00°, γ = 90.00°
Sites, in units of the cell vectors:
Cd1 0.000 0.000 0.000
Ga1 0.000 0.000 0.500
Ga2 0.000 0.500 0.000
Ga3 0.500 0.000 0.000
Au1 0.500 0.500 0.500

---

A crystal of YTaSnO2 relaxed with PBEsol, computed with SCAN.

Computed properties:
- E_form (uncorrected): 0.61 eV/atom
- Symmetry: P4/mmm, No. 123

a = 4.029 Å, b = 4.029 Å, c = 6.513 Å
α = 90.00°, β = 90.00°, γ = 90.00°
Sites, in units of the cell vectors:
Y1 0.000 0.000 0.000
Ta1 0.500 0.500 0.000
Sn1 0.000 0.000 0.500
O1 0.000 0.500 0.500
O2 0.500 0.000 0.500

---

A crystal of SrSc2Hg relaxed with PBEsol, computed with SCAN.

Computed properties:
- Energy relative to the elements: 5.1 kJ/mol of formula units
- Symmetry: Fm-3m, No. 225

a = 5.172 Å, b = 5.172 Å, c = 5.172 Å
α = 60.00°, β = 60.00°, γ = 60.00°
Sites, in units of the cell vectors:
Sr1 0.000 0.000 0.000
Sc1 0.250 0.250 0.250
Sc2 0.750 0.750 0.750
Hg1 0.500 0.500 0.500

---

A crystal of V2Zn4O9 relaxed with PBEsol, computed with SCAN.

Computed properties:
- E_form (uncorrected): -2.06 eV/atom
- Symmetry: P2_1, No. 4

a = 9.631 Å, b = 8.133 Å, c = 10.326 Å
α = 90.00°, β = 116.90°, γ = 90.00°
Sites, in units of the cell vectors:
V1 0.029 0.000 0.030
V2 0.142 0.489 0.480
V3 0.354 0.504 0.997
V4 0.459 0.975 0.443
V5 0.541 0.475 0.557
V6 0.646 0.004 0.003
V7 0.858 0.989 0.520
V8 0.971 0.500 0.970
Zn1 0.060 0.648 0.717
Zn2 0.100 0.224 0.794
Zn3 0.214 0.976 0.611
Zn4 0.239 0.297 0.262
Zn5 0.248 0.672 0.259
Zn6 0.308 0.927 0.918
Zn7 0.434 0.290 0.775
Zn8 0.437 0.677 0.764
Zn9 0.563 0.177 0.236
Zn10 0.566 0.790 0.225
Zn11 0.692 0.427 0.082
Zn12 0.752 0.172 0.741
Zn13 0.761 0.797 0.738
Zn14 0.786 0.476 0.389
Zn15 0.900 0.724 0.206
Zn16 0.940 0.148 0.283
O1 0.002 0.503 0.540
O2 0.052 0.152 0.155
O3 0.081 0.821 0.120
O4 0.104 0.655 0.360
O5 0.117 0.307 0.392
O6 0.151 0.046 0.953
O7 0.159 0.484 0.114
O8 0.178 0.450 0.850
O9 0.241 0.787 0.744
O10 0.278 0.136 0.768
O11 0.315 0.487 0.636
O12 0.317 0.962 0.492
O13 0.362 0.703 0.053
O14 0.366 0.482 0.400
O15 0.421 0.149 0.332
O16 0.428 0.363 0.129
O17 0.441 0.800 0.337
O18 0.488 0.496 0.920
O19 0.512 0.996 0.080
O20 0.559 0.300 0.663
O21 0.572 0.863 0.871
O22 0.579 0.649 0.668
O23 0.634 0.982 0.600
O24 0.638 0.203 0.947
O25 0.683 0.462 0.508
O26 0.685 0.987 0.364
O27 0.722 0.636 0.232
O28 0.759 0.287 0.256
O29 0.822 0.950 0.150
O30 0.841 0.984 0.886
O31 0.849 0.546 0.047
O32 0.883 0.807 0.608
O33 0.896 0.155 0.640
O34 0.919 0.321 0.880
O35 0.948 0.652 0.845
O36 0.998 0.003 0.460

---

A crystal of CrSCl2O relaxed with PBEsol, computed with SCAN.

Computed properties:
- E_form (uncorrected): 0.44 eV/atom
- Symmetry: P4/mmm, No. 123

a = 4.546 Å, b = 4.546 Å, c = 3.921 Å
α = 90.00°, β = 90.00°, γ = 90.00°
Sites, in units of the cell vectors:
Cr1 0.000 0.000 0.000
S1 0.500 0.500 0.000
Cl1 0.000 0.500 0.500
Cl2 0.500 0.000 0.500
O1 0.500 0.500 0.500

---

A crystal of BPb2N relaxed with PBEsol, computed with SCAN.

Computed properties:
- E_form (uncorrected): 0.83 eV/atom
- Symmetry: I-42d, No. 122

a = 6.571 Å, b = 6.571 Å, c = 6.571 Å
α = 132.44°, β = 132.44°, γ = 69.54°
Sites, in units of the cell vectors:
B1 0.000 0.000 0.000
B2 0.750 0.250 0.500
Pb1 0.125 0.625 0.000
Pb2 0.375 0.375 0.500
Pb3 0.625 0.125 0.000
Pb4 0.875 0.875 0.500
N1 0.250 0.750 0.500
N2 0.500 0.500 0.000

---

A crystal of Ti3TeOs relaxed with PBEsol, computed with SCAN.

Computed properties:
- E_form (uncorrected): 1.32 eV/atom
- Symmetry: Pm-3m, No. 221

a = 4.760 Å, b = 4.760 Å, c = 4.760 Å
α = 90.00°, β = 90.00°, γ = 90.00°
Sites, in units of the cell vectors:
Ti1 0.000 0.000 0.500
Ti2 0.000 0.500 0.000
Ti3 0.500 0.000 0.000
Te1 0.000 0.000 0.000
Os1 0.500 0.500 0.500

---

Question: Which formula does entry 6 have?
Answer: CdGa3Au